(A)
! NaAg2I (PBE, relaxed); values from VASP
&SYSTEM
  ibrav = 0, nat = 4, ntyp = 3
/
ATOMIC_SPECIES
Na 22.99 Na.upf
Ag 107.87 Ag.upf
I 126.90 I.upf
CELL_PARAMETERS angstrom
0.000 3.704 3.704
3.704 0.000 3.704
3.704 3.704 0.000
ATOMIC_POSITIONS angstrom
Na 0.000 0.000 0.000
Ag 1.852 1.852 1.852
Ag 5.557 5.557 5.557
I 3.704 3.704 3.704
! Calculated volume in Å³/f.u.: 101.7
! D(E_F) in states/eV/cell: 1.4

---

(B)
! NaAg2I (PBE, relaxed); values from VASP
&SYSTEM
  ibrav = 0, nat = 8, ntyp = 3
/
ATOMIC_SPECIES
Na 22.99 Na.upf
Ag 107.87 Ag.upf
I 126.90 I.upf
CELL_PARAMETERS angstrom
-4.545 4.545 2.877
4.545 -4.545 2.877
4.545 4.545 -2.877
ATOMIC_POSITIONS angstrom
Na 0.000 0.000 0.000
Na 0.000 4.545 1.439
Ag 2.273 2.593 -0.719
Ag 6.498 2.273 0.719
Ag 2.273 1.953 2.158
Ag -1.953 2.273 3.596
I 4.545 0.000 1.439
I 0.000 0.000 2.877
! Calculated volume in Å³/f.u.: 118.9
! D(E_F) in states/eV/cell: 2.2

---

On energetic grounds, (B) is preferred over the next structure by 100 meV per atom.

---

(A)
! NaAgI2O (PBE, relaxed); values from VASP
&SYSTEM
  ibrav = 0, nat = 5, ntyp = 4
/
ATOMIC_SPECIES
Na 22.99 Na.upf
Ag 107.87 Ag.upf
I 126.90 I.upf
O 16.00 O.upf
CELL_PARAMETERS angstrom
5.850 0.000 0.000
0.000 5.850 0.000
0.000 0.000 4.127
ATOMIC_POSITIONS angstrom
Na 0.000 0.000 0.000
Ag 2.925 2.925 2.063
I 0.000 2.925 2.063
I 2.925 0.000 2.063
O 2.925 2.925 0.000
! Calculated volume in Å³/f.u.: 141.2
! D(E_F) in states/eV/cell: 4.1

---

(B)
! NaAgI2O (PBE, relaxed); values from VASP
&SYSTEM
  ibrav = 0, nat = 5, ntyp = 4
/
ATOMIC_SPECIES
Na 22.99 Na.upf
Ag 107.87 Ag.upf
I 126.90 I.upf
O 16.00 O.upf
CELL_PARAMETERS angstrom
5.900 0.000 0.000
0.000 5.900 0.000
0.000 0.000 4.160
ATOMIC_POSITIONS angstrom
Na 0.000 0.000 0.000
Ag 2.950 2.950 2.080
I 0.000 2.950 0.000
I 2.950 0.000 0.000
O 0.000 0.000 2.080
! Calculated volume in Å³/f.u.: 144.8
! D(E_F) in states/eV/cell: 12.1

---

On energetic grounds, (A) is preferred over the next structure by 509 meV per atom.

---

(A)
! Nb2AgI (PBE, relaxed); values from VASP
&SYSTEM
  ibrav = 0, nat = 4, ntyp = 3
/
ATOMIC_SPECIES
Nb 92.91 Nb.upf
Ag 107.87 Ag.upf
I 126.90 I.upf
CELL_PARAMETERS angstrom
0.000 3.374 3.374
3.374 0.000 3.374
3.374 3.374 0.000
ATOMIC_POSITIONS angstrom
Nb 1.687 1.687 1.687
Nb 5.061 5.061 5.061
Ag 0.000 0.000 0.000
I 3.374 3.374 3.374
! Calculated volume in Å³/f.u.: 76.8
! D(E_F) in states/eV/cell: 3.9

---

(B)
! Nb2AgI (PBE, relaxed); values from VASP
&SYSTEM
  ibrav = 0, nat = 8, ntyp = 3
/
ATOMIC_SPECIES
Nb 92.91 Nb.upf
Ag 107.87 Ag.upf
I 126.90 I.upf
CELL_PARAMETERS angstrom
-2.029 2.029 10.382
2.029 -2.029 10.382
2.029 2.029 -10.382
ATOMIC_POSITIONS angstrom
Nb 3.044 0.974 -2.595
Nb 0.974 1.015 2.595
Nb -1.015 1.055 7.786
Nb 1.055 1.015 12.977
Ag 0.000 0.000 0.000
Ag 0.000 2.029 5.191
I 2.029 0.000 5.191
I 0.000 0.000 10.382
! Calculated volume in Å³/f.u.: 85.5
! D(E_F) in states/eV/cell: 5.6

---

On energetic grounds, (A) is preferred over the next structure by 104 meV per atom.

---

(A)
! NbAgI6 (PBE, relaxed); values from VASP
&SYSTEM
  ibrav = 0, nat = 8, ntyp = 3
/
ATOMIC_SPECIES
Nb 92.91 Nb.upf
Ag 107.87 Ag.upf
I 126.90 I.upf
CELL_PARAMETERS angstrom
7.245 0.000 0.000
-3.622 6.282 0.000
-0.003 -4.178 6.541
ATOMIC_POSITIONS angstrom
Nb 0.000 0.000 0.000
Ag 3.621 -2.089 3.271
I -1.190 1.953 1.585
I 1.093 -2.170 4.954
I 2.286 0.057 1.587
I 1.335 2.047 4.955
I 2.527 4.275 1.587
I 4.811 0.151 4.956
! Calculated volume in Å³/f.u.: 297.7

---

(B)
! NbAgI6 (PBE, relaxed); values from VASP
&SYSTEM
  ibrav = 0, nat = 8, ntyp = 3
/
ATOMIC_SPECIES
Nb 92.91 Nb.upf
Ag 107.87 Ag.upf
I 126.90 I.upf
CELL_PARAMETERS angstrom
3.699 -6.487 0.000
3.699 6.487 0.000
-2.827 0.000 6.794
ATOMIC_POSITIONS angstrom
Nb 0.000 0.000 0.000
Ag 2.286 0.000 3.397
I 1.077 2.023 1.626
I -0.533 0.000 5.278
I 1.077 -2.023 1.626
I 3.494 2.023 5.168
I 5.104 0.000 1.517
I 3.494 -2.023 5.168
! Calculated volume in Å³/f.u.: 326.1
! D(E_F) in states/eV/cell: 3.3

---

On energetic grounds, (A) is preferred over the next structure by 23 meV per atom.

---

(A)
! NbAg3I (PBE, relaxed); values from VASP
&SYSTEM
  ibrav = 0, nat = 5, ntyp = 3
/
ATOMIC_SPECIES
Nb 92.91 Nb.upf
Ag 107.87 Ag.upf
I 126.90 I.upf
CELL_PARAMETERS angstrom
5.363 0.000 0.000
0.000 5.363 0.000
0.000 0.000 5.363
ATOMIC_POSITIONS angstrom
Nb 0.000 0.000 0.000
Ag 0.000 2.682 2.682
Ag 2.682 0.000 2.682
Ag 2.682 2.682 0.000
I 2.682 2.682 2.682
! Calculated volume in Å³/f.u.: 154.3
! D(E_F) in states/eV/cell: 4.5

---

(B)
! NbAg3I (PBE, relaxed); values from VASP
&SYSTEM
  ibrav = 0, nat = 5, ntyp = 3
/
ATOMIC_SPECIES
Nb 92.91 Nb.upf
Ag 107.87 Ag.upf
I 126.90 I.upf
CELL_PARAMETERS angstrom
5.303 0.000 0.000
0.000 5.303 0.000
0.000 0.000 5.303
ATOMIC_POSITIONS angstrom
Nb 0.000 0.000 0.000
Ag 0.000 0.000 2.651
Ag 0.000 2.651 0.000
Ag 2.651 0.000 0.000
I 2.651 2.651 2.651
! Calculated volume in Å³/f.u.: 149.1
! D(E_F) in states/eV/cell: 4.3

---

On energetic grounds, (B) is preferred over the next structure by 226 meV per atom.

---

(A)
! NbAgI2O (PBE, relaxed); values from VASP
&SYSTEM
  ibrav = 0, nat = 5, ntyp = 4
/
ATOMIC_SPECIES
Nb 92.91 Nb.upf
Ag 107.87 Ag.upf
I 126.90 I.upf
O 16.00 O.upf
CELL_PARAMETERS angstrom
5.820 0.000 0.000
0.000 5.820 0.000
0.000 0.000 3.922
ATOMIC_POSITIONS angstrom
Nb 0.000 0.000 0.000
Ag 2.910 2.910 1.961
I 0.000 2.910 0.000
I 2.910 0.000 0.000
O 0.000 0.000 1.961
! Calculated volume in Å³/f.u.: 132.9
! D(E_F) in states/eV/cell: 2.1

---

(B)
! NbAgI2O (PBE, relaxed); values from VASP
&SYSTEM
  ibrav = 0, nat = 5, ntyp = 4
/
ATOMIC_SPECIES
Nb 92.91 Nb.upf
Ag 107.87 Ag.upf
I 126.90 I.upf
O 16.00 O.upf
CELL_PARAMETERS angstrom
5.723 0.000 0.000
0.000 5.723 0.000
0.000 0.000 3.945
ATOMIC_POSITIONS angstrom
Nb 0.000 0.000 0.000
Ag 2.862 2.862 1.972
I 0.000 2.862 1.972
I 2.862 0.000 1.972
O 2.862 2.862 0.000
! Calculated volume in Å³/f.u.: 129.2
! D(E_F) in states/eV/cell: 4.2

---

On energetic grounds, (A) is preferred over the next structure by 1198 meV per atom.